Below is a crystal of ScP2Rh relaxed with PBEsol, with properties calculated at the meta-GGA SCAN level.

Calculated values
- density of states at the Fermi level (states/eV/cell) = 0.778
- relative energy among the computed polymorphs (eV/f.u.) = 0.00
- symmetry = Imm2
- formation energy from the elements (eV/atom) = -0.911

Cell and atoms, written as POSCAR:
```
ScP2Rh
1.0
-3.3372 -0.5188 -0.0637
0.5245 -3.2873 -0.7067
1.4785 0.8054 5.5448
P Rh Sc
2 1 1
Cartesian
0.0040 -0.0600 0.2822
-1.6253 -0.9178 3.0628
0.0661 -1.0050 4.7242
0.2933 -2.1156 1.8648
```